1.
Material: NaCu3W
Method: DFT, PBE
State: optimized geometry

Properties
ΔE to the lowest computed polymorph, meV per atom: 0.0
Density, g cm⁻³: 5.96
Total magnetic moment, μB per formula unit: 0.00

a = 4.803 Å, b = 4.803 Å, c = 4.803 Å
α = 90.00°, β = 90.00°, γ = 90.00°
Positions (direct):
Na 0.500 0.500 0.500
Cu 0.000 0.500 0.000
Cu 0.000 0.000 0.500
Cu 0.500 0.000 0.000
W 0.000 0.000 0.000

***

2.
Material: AlInPbS4
Method: DFT, PBE
State: optimized geometry

Properties
Density, g cm⁻³: 4.58
Total magnetic moment, μB per formula unit: 0.00
ΔE_f (raw), eV/atom: -0.62

a = 6.325 Å, b = 7.193 Å, c = 7.812 Å
α = 90.00°, β = 103.00°, γ = 90.00°
Positions (direct):
Al 0.225 0.750 0.317
Al 0.775 0.250 0.683
In 0.726 0.750 0.369
In 0.274 0.250 0.631
Pb 0.792 0.750 0.942
Pb 0.208 0.250 0.058
S 0.022 0.485 0.733
S 0.978 0.985 0.267
S 0.978 0.515 0.267
S 0.022 0.015 0.733
S 0.408 0.750 0.099
S 0.592 0.250 0.901
S 0.482 0.750 0.572
S 0.518 0.250 0.428

***

3.
Material: Hf3MgSe
Method: DFT, PBE
State: optimized geometry

Properties
ΔE to the lowest computed polymorph, meV per atom: 0.0
Density, g cm⁻³: 8.72
Total magnetic moment, μB per formula unit: 0.00
ΔE_f (raw), eV/atom: 0.12

a = 4.956 Å, b = 4.956 Å, c = 4.956 Å
α = 90.00°, β = 90.00°, γ = 90.00°
Positions (direct):
Mg 0.500 0.500 0.500
Hf 0.000 0.500 0.000
Hf 0.000 0.000 0.500
Hf 0.500 0.000 0.000
Se 0.000 0.000 0.000

***

4.
Material: Sc2TaCu
Method: DFT, PBE
State: optimized geometry

Properties
ΔE to the lowest computed polymorph, meV per atom: 247.5
Density, g cm⁻³: 7.02
Total magnetic moment, μB per formula unit: 0.00

a = 9.679 Å, b = 9.679 Å, c = 9.679 Å
α = 18.42°, β = 18.42°, γ = 18.42°
Positions (direct):
Cu 0.753 0.753 0.753
Sc 0.012 0.012 0.012
Sc 0.243 0.243 0.243
Ta 0.492 0.492 0.492

***

5.
Material: PrY3Se6
Method: DFT, PBE
State: optimized geometry

Properties
Density, g cm⁻³: 5.36
Total magnetic moment, μB per formula unit: 0.00
ΔE_f (raw), eV/atom: -1.90

a = 4.157 Å, b = 11.647 Å, c = 11.946 Å
α = 109.09°, β = 90.00°, γ = 90.00°
Positions (direct):
Pr 0.750 0.047 0.695
Pr 0.250 0.953 0.305
Y 0.750 0.439 0.833
Y 0.250 0.561 0.167
Y 0.750 0.681 0.500
Y 0.250 0.319 0.500
Y 0.750 0.159 0.086
Y 0.250 0.841 0.914
Se 0.750 0.481 0.614
Se 0.250 0.519 0.386
Se 0.750 0.916 0.095
Se 0.250 0.084 0.905
Se 0.750 0.394 0.059
Se 0.250 0.606 0.941
Se 0.750 0.739 0.273
Se 0.250 0.261 0.727
Se 0.750 0.117 0.465
Se 0.250 0.883 0.535
Se 0.750 0.804 0.750
Se 0.250 0.196 0.250

***

6.
Material: Al2Rh
Method: DFT, PBE
State: optimized geometry

Properties
Density, g cm⁻³: 5.86
Calculated total energy, eV per cell: -68.9
Total magnetic moment, μB per formula unit: 0.00

a = 3.978 Å, b = 5.514 Å, c = 8.109 Å
α = 90.00°, β = 90.00°, γ = 90.00°
Positions (direct):
Al 0.250 0.067 0.834
Al 0.750 0.433 0.334
Al 0.250 0.567 0.666
Al 0.750 0.933 0.166
Al 0.250 0.159 0.469
Al 0.750 0.341 0.969
Al 0.250 0.659 0.031
Al 0.750 0.841 0.531
Rh 0.250 0.741 0.339
Rh 0.750 0.759 0.839
Rh 0.250 0.241 0.161
Rh 0.750 0.259 0.661

***

7.
Material: LuNbTc
Method: DFT, PBE
State: optimized geometry

Properties
Density, g cm⁻³: 10.48
Calculated total energy, eV per cell: -25.3
Total magnetic moment, μB per formula unit: 0.00

a = 3.290 Å, b = 3.290 Å, c = 5.841 Å
α = 106.36°, β = 106.36°, γ = 90.00°
Positions (direct):
Nb 0.308 0.308 0.617
Lu 0.008 0.008 0.017
Tc 0.683 0.683 0.367

***

8.
Material: NaGe2Br
Method: DFT, PBE
State: optimized geometry

Properties
ΔE to the lowest computed polymorph, meV per atom: 0.0
Density, g cm⁻³: 3.67
Total magnetic moment, μB per formula unit: 0.00
ΔE_f (raw), eV/atom: 0.13

a = 9.248 Å, b = 9.248 Å, c = 7.047 Å
α = 48.99°, β = 48.99°, γ = 90.00°
Positions (direct):
Na 0.500 0.500 0.000
Na 0.250 0.750 0.500
Ge 0.658 0.125 0.250
Ge 0.092 0.625 0.250
Ge 0.375 0.342 0.750
Ge 0.875 0.908 0.750
Br 0.000 0.000 0.000
Br 0.750 0.250 0.500

***

9.
Material: MnAlCu3
Method: DFT, PBE
State: optimized geometry

Properties
ΔE to the lowest computed polymorph, meV per atom: 251.0
Density, g cm⁻³: 4.91
Total magnetic moment, μB per formula unit: 4.12

a = 4.518 Å, b = 4.518 Å, c = 4.518 Å
α = 90.00°, β = 90.00°, γ = 90.00°
Site moments in Bohr magnetons follow the coordinates.
Positions (direct):
Mn 0.000 0.000 0.000  3.51
Al 0.500 0.500 0.500  0.02
Cu 0.000 0.500 0.000  0.16
Cu 0.000 0.000 0.500  0.24
Cu 0.500 0.000 0.000  0.08

***

10.
Material: AgSnTe3Pb
Method: DFT, PBE
State: optimized geometry

Properties
Density, g cm⁻³: 7.10
Total magnetic moment, μB per formula unit: 0.00
ΔE_f (raw), eV/atom: -0.19

a = 4.515 Å, b = 9.037 Å, c = 9.618 Å
α = 103.17°, β = 90.00°, γ = 90.00°
Positions (direct):
Ag 0.250 0.085 0.550
Ag 0.750 0.915 0.450
Sn 0.250 0.663 0.144
Sn 0.750 0.337 0.856
Te 0.750 0.896 0.131
Te 0.250 0.104 0.869
Te 0.250 0.743 0.473
Te 0.750 0.257 0.527
Te 0.750 0.432 0.187
Te 0.250 0.568 0.813
Pb 0.250 0.181 0.206
Pb 0.750 0.819 0.794

***

11.
Material: LaHf3Be
Method: DFT, PBE
State: optimized geometry

Properties
ΔE to the lowest computed polymorph, meV per atom: 1555.8
Density, g cm⁻³: 8.56
Total magnetic moment, μB per formula unit: 0.00

a = 5.099 Å, b = 5.099 Å, c = 5.099 Å
α = 90.00°, β = 90.00°, γ = 90.00°
Positions (direct):
Be 0.500 0.500 0.500
Hf 0.000 0.500 0.000
Hf 0.000 0.000 0.500
Hf 0.500 0.000 0.000
La 0.000 0.000 0.000

***

12.
Material: HfMgPt2
Method: DFT, PBE
State: optimized geometry

Properties
Density, g cm⁻³: 14.21
Calculated total energy, eV per cell: -27.4
Total magnetic moment, μB per formula unit: 0.00

a = 3.012 Å, b = 4.797 Å, c = 4.797 Å
α = 90.00°, β = 90.00°, γ = 90.00°
Positions (direct):
Mg 0.500 0.000 0.000
Hf 0.500 0.500 0.500
Pt 0.000 0.000 0.500
Pt 0.000 0.500 0.000